Ce3ScSb4: optimized geometry, GGA-PBE.

Cell lengths 7.6491, 7.6491, 4.4223 Å; angles 90.00, 90.00, 109.45 degrees
Positions (direct):
Ce 0.0000 0.0000 0.0000
Ce 0.0000 0.5000 0.5000
Ce 0.5000 0.0000 0.5000
Sc 0.5000 0.5000 0.0000
Sb 0.2578 0.7422 0.0000
Sb 0.2644 0.2644 0.5000
Sb 0.7356 0.7356 0.5000
Sb 0.7422 0.2578 0.0000

raw formation energy = -993.6 meV/atom
crystal system = orthorhombic
uncorrected energy = -48.57 eV/cell

Tb3Er3Pd4: optimized geometry, GGA-PBE.

Cell lengths 3.9622, 7.7688, 7.7688 Å; angles 90.43, 90.00, 90.00 degrees
Positions (direct):
Tb 0.0000 0.0000 0.0000
Tb 0.0000 0.4987 0.8299
Tb 0.0000 0.8299 0.4987
Er 0.0000 0.3310 0.3310
Er 0.5000 0.1650 0.6639
Er 0.5000 0.6639 0.1650
Pd 0.5000 0.0351 0.2991
Pd 0.5000 0.2991 0.0351
Pd 0.5000 0.5291 0.5291
Pd 0.5000 0.7972 0.7972

formation enthalpy at 0 K = -0.741 eV per atom
crystal system = orthorhombic
uncorrected energy = -55.76 eV/cell

Sm3DyH8: optimized geometry, GGA-PBE.

Cell lengths 5.3188, 5.3188, 5.3188 Å; angles 90.00, 90.00, 90.00 degrees
Positions (direct):
Sm 0.0000 0.0000 0.5000
Sm 0.0000 0.5000 0.0000
Sm 0.5000 0.0000 0.0000
Dy 0.5000 0.5000 0.5000
H 0.2550 0.2550 0.2550
H 0.2550 0.2550 0.7450
H 0.2550 0.7450 0.2550
H 0.2550 0.7450 0.7450
H 0.7450 0.2550 0.2550
H 0.7450 0.2550 0.7450
H 0.7450 0.7450 0.2550
H 0.7450 0.7450 0.7450

crystal system = cubic
uncorrected energy = -53.85 eV/cell

CaPm4Ho2: optimized geometry, GGA-PBE.

Cell lengths 21.0919, 21.0919, 21.0919 Å; angles 9.86, 9.86, 9.86 degrees
Positions (direct):
Ca 0.0000 0.0000 0.0000
Pm 0.1430 0.1430 0.1430
Pm 0.2820 0.2820 0.2820
Pm 0.7180 0.7180 0.7180
Pm 0.8570 0.8570 0.8570
Ho 0.4298 0.4298 0.4298
Ho 0.5702 0.5702 0.5702

formation enthalpy at 0 K = 0.029 eV per atom
crystal system = trigonal
uncorrected energy = -29.96 eV/cell

PrSiOs2C: optimized geometry, GGA-PBE.

Cell lengths 5.9189, 5.9189, 7.2170 Å; angles 90.00, 90.00, 140.49 degrees
Positions (direct):
Pr 0.0495 0.9505 0.7500
Pr 0.9505 0.0495 0.2500
Si 0.2296 0.7704 0.2500
Si 0.7704 0.2296 0.7500
Os 0.3339 0.6661 0.5601
Os 0.3339 0.6661 0.9399
Os 0.6661 0.3339 0.0601
Os 0.6661 0.3339 0.4399
C 0.5000 0.5000 0.0000
C 0.5000 0.5000 0.5000

raw formation energy = -459.0 meV/atom
crystal system = orthorhombic
uncorrected energy = -88.36 eV/cell

Sm2FeBr: optimized geometry, GGA-PBE.

Cell lengths 8.2679, 8.2679, 8.2679 Å; angles 27.19, 27.19, 27.19 degrees
Positions (direct):
Sm 0.2337 0.2337 0.2337
Sm 0.7663 0.7663 0.7663
Fe 0.5000 0.5000 0.5000
Br 0.0000 0.0000 0.0000

raw formation energy = -480.2 meV/atom
crystal system = trigonal
uncorrected energy = -21.49 eV/cell

BaTlSn: optimized geometry, GGA-PBE.

Cell lengths 7.1100, 7.1100, 7.1100 Å; angles 138.66, 90.85, 103.55 degrees
Positions (direct):
Ba 0.0000 0.0000 0.0000
Ba 0.5491 0.0491 0.5000
Tl 0.0195 0.7027 0.3168
Tl 0.3859 0.7027 0.6832
Sn 0.1128 0.3672 0.7456
Sn 0.6216 0.3672 0.2544

formation enthalpy at 0 K = -0.445 eV per atom
crystal system = orthorhombic
uncorrected energy = -19.25 eV/cell

Y4CdNi: optimized geometry, GGA-PBE.

Cell lengths 6.1870, 6.1870, 6.1870 Å; angles 60.00, 60.00, 60.00 degrees
Positions (direct):
Y 0.1253 0.1253 0.1253
Y 0.1253 0.1253 0.6240
Y 0.1253 0.6240 0.1253
Y 0.6240 0.1253 0.1253
Cd 0.7500 0.7500 0.7500
Ni 0.5000 0.5000 0.5000

formation enthalpy at 0 K = 0.599 eV per atom
crystal system = cubic
uncorrected energy = -28.96 eV/cell